DFT (PBE) results for crystalline Tb2PmEr2Th2 at its relaxed geometry.

```
14
Lattice="17.1717 0.0000 0.0000 0.0000 3.4978 0.0000 -4.5211 0.0000 7.6427" Properties=species:S:1:pos:R:3 pbc="T T T"
Tb 0.6107 0.0000 3.3711
Tb 3.4540 1.7489 4.2717
Tb 9.1966 1.7489 3.3711
Tb 12.0399 0.0000 4.2717
Pm 0.0000 1.7489 0.0000
Pm 8.5859 0.0000 0.0000
Er -2.0171 0.0000 5.5587
Er 6.0819 1.7489 2.0840
Er 6.5688 1.7489 5.5587
Er 14.6677 0.0000 2.0840
Th 3.2844 0.0000 1.1703
Th 0.7804 1.7489 6.4724
Th 11.8703 1.7489 1.1703
Th 9.3662 0.0000 6.4724
```

Values from the calculation:
- D(E_F): 1.189 states/eV/atom
- ΔH_f (0 K): 0.9 eV per formula unit
- SG: No. 12
- E_tot: -5.302 eV per atom

DFT (PBE) results for crystalline Tb2Pm6ErTh at its relaxed geometry.

```
20
Lattice="4.6399 -7.5105 0.0000 4.6399 7.5105 0.0000 -1.3861 0.0000 9.6595" Properties=species:S:1:pos:R:3 pbc="T T T"
Tb 2.2127 0.6929 0.4731
Tb 1.5196 -0.6929 5.3028
Tb 6.3741 0.6929 4.3566
Tb 5.6810 -0.6929 9.1864
Pm 2.4560 4.2303 1.8117
Pm 3.2547 4.8330 5.3745
Pm 3.9459 4.8330 9.1147
Pm 3.2206 1.6053 3.6779
Pm 6.1308 4.2303 3.0180
Pm 5.3662 1.6053 1.1518
Pm 2.5275 -1.6053 8.5076
Pm 1.7629 -4.2303 6.6414
Pm 4.6731 -1.6053 5.9816
Pm 3.9477 -4.8330 0.5447
Pm 4.6390 -4.8330 4.2850
Pm 5.4377 -4.2303 7.8478
Er 3.6003 1.3805 7.2446
Er 4.2934 -1.3805 2.4149
Th 4.2934 7.1236 2.4149
Th 3.6003 -7.1236 7.2446
```

Values from the calculation:
- D(E_F): 1.428 states/eV/atom
- ΔH_f (0 K): 1.5 eV per formula unit
- SG: No. 15
- E_tot: -4.829 eV per atom

DFT (PBE) results for crystalline Tb5PmEr2Th at its relaxed geometry.

```
18
Lattice="2.8181 -10.0668 0.0000 2.8181 10.0668 0.0000 0.0000 0.0000 10.3703" Properties=species:S:1:pos:R:3 pbc="T T T"
Tb 2.8181 9.7420 5.1851
Tb 2.8181 4.5253 8.2465
Tb 2.8181 4.0855 1.9292
Tb 2.8181 2.2464 5.2352
Tb 2.8181 0.4644 2.2438
Tb 2.8181 -0.4644 7.4289
Tb 2.8181 -2.2464 0.0501
Tb 2.8181 -4.0855 7.1143
Tb 2.8181 -4.5253 3.0614
Tb 2.8181 -9.7420 0.0000
Pm 2.8181 1.7939 9.5687
Pm 2.8181 -1.7939 4.3836
Er 2.8181 7.7837 8.2672
Er 2.8181 7.7704 2.1785
Er 2.8181 -7.7704 7.3636
Er 2.8181 -7.7837 3.0821
Th 2.8181 6.0722 5.1225
Th 2.8181 -6.0722 10.3076
```

Values from the calculation:
- D(E_F): 1.591 states/eV/atom
- ΔH_f (0 K): 1.5 eV per formula unit
- SG: No. 36
- E_tot: -4.774 eV per atom

DFT (PBE) results for crystalline TbPmErTh at its relaxed geometry.

```
16
Lattice="8.0470 0.0000 0.0000 0.0000 8.0470 0.0000 0.0000 0.0000 8.0470" Properties=species:S:1:pos:R:3 pbc="T T T"
Tb 0.0000 0.0000 0.0000
Tb 0.0000 4.0235 4.0235
Tb 4.0235 0.0000 4.0235
Tb 4.0235 4.0235 0.0000
Pm 2.0117 2.0117 6.0352
Pm 2.0117 6.0352 2.0117
Pm 6.0352 2.0117 2.0117
Pm 6.0352 6.0352 6.0352
Er 2.0117 2.0117 2.0117
Er 2.0117 6.0352 6.0352
Er 6.0352 2.0117 6.0352
Er 6.0352 6.0352 2.0117
Th 0.0000 0.0000 4.0235
Th 0.0000 4.0235 0.0000
Th 4.0235 0.0000 0.0000
Th 4.0235 4.0235 4.0235
```

Values from the calculation:
- D(E_F): 2.119 states/eV/atom
- ΔH_f (0 K): 0.7 eV per formula unit
- SG: No. 216
- E_tot: -5.165 eV per atom

DFT (PBE) results for crystalline Tb4Pm2ErTh at its relaxed geometry.

```
8
Lattice="5.9478 0.0000 0.0000 0.0000 5.9478 0.0000 0.0000 0.0000 7.3561" Properties=species:S:1:pos:R:3 pbc="T T T"
Tb 0.0000 2.9739 1.8371
Tb 0.0000 2.9739 5.5189
Tb 2.9739 0.0000 1.8371
Tb 2.9739 0.0000 5.5189
Pm 0.0000 0.0000 0.0000
Pm 2.9739 2.9739 3.6780
Er 0.0000 0.0000 3.6780
Th 2.9739 2.9739 0.0000
```

Values from the calculation:
- D(E_F): 1.941 states/eV/atom
- ΔH_f (0 K): 1.1 eV per formula unit
- SG: No. 123
- E_tot: -4.869 eV per atom

DFT (PBE) results for crystalline Tb6Pm2Er3Th at its relaxed geometry.

```
12
Lattice="3.0911 -5.3479 0.0000 3.0911 5.3479 0.0000 -2.0549 0.0000 11.6298" Properties=species:S:1:pos:R:3 pbc="T T T"
Tb -0.0037 1.7634 8.7439
Tb 1.0058 0.0000 2.8867
Tb -0.0037 -1.7634 8.7439
Tb 4.1311 1.7634 2.8859
Tb 3.1216 0.0000 8.7431
Tb 4.1311 -1.7634 2.8859
Pm 2.0637 1.7823 5.8149
Pm 2.0637 -1.7823 5.8149
Er 3.0911 3.5628 0.0000
Er 3.0911 0.0000 0.0000
Er 3.0911 -3.5628 0.0000
Th -1.0274 0.0000 5.8149
```

Values from the calculation:
- D(E_F): 1.310 states/eV/atom
- ΔH_f (0 K): 0.4 eV per formula unit
- SG: No. 12
- E_tot: -4.836 eV per atom